Density functional theory data (GGA-PBE) for crystalline Cs2S at its relaxed geometry. Values from VASP.

```
&SYSTEM
  ibrav = 0, nat = 12, ntyp = 2
/
ATOMIC_SPECIES
Cs 132.91 Cs.upf
S 32.06 S.upf
CELL_PARAMETERS angstrom
5.455 0.000 0.000
0.000 8.818 0.000
-5.442 0.000 10.549
ATOMIC_POSITIONS angstrom
Cs -1.356 0.162 3.520
Cs -4.077 4.247 8.795
Cs -1.355 5.673 6.092
Cs 1.366 7.555 0.817
Cs -1.353 1.264 9.732
Cs 1.368 3.146 4.458
Cs 4.090 4.571 1.754
Cs 1.369 8.656 7.029
S -1.359 2.163 6.391
S 1.362 2.247 1.116
S -1.349 6.572 9.433
S 1.372 6.656 4.158
```

ΔE_f (raw) = -0.99 eV per atom
SG = P2_1/c
N(E_F) = 0.000 states/eV per cell
size of the total moment = 0.00 μB per atom

Density functional theory data (GGA-PBE) for crystalline Cs2S5 at its relaxed geometry. Values from VASP.

```
&SYSTEM
  ibrav = 0, nat = 14, ntyp = 2
/
ATOMIC_SPECIES
Cs 132.91 Cs.upf
S 32.06 S.upf
CELL_PARAMETERS angstrom
9.645 -3.608 0.000
9.645 3.608 0.000
-1.872 0.000 7.271
ATOMIC_POSITIONS angstrom
Cs 5.382 1.993 5.618
Cs 11.098 1.993 5.289
Cs 6.319 -1.993 1.982
Cs 12.034 -1.993 1.653
S 5.979 1.551 1.716
S 9.177 2.641 1.818
S 7.714 1.505 2.808
S 10.639 1.505 0.827
S 12.375 1.551 1.919
S 5.042 -1.551 5.352
S 6.778 -1.505 6.444
S 9.703 -1.505 4.463
S 8.240 -2.641 5.453
S 11.438 -1.551 5.555
```

ΔE_f (raw) = -0.61 eV per atom
SG = C2/c
size of the total moment = 0.00 μB per atom

Density functional theory data (GGA-PBE) for crystalline CsS4 at its relaxed geometry. Values from VASP.

```
&SYSTEM
  ibrav = 0, nat = 5, ntyp = 2
/
ATOMIC_SPECIES
Cs 132.91 Cs.upf
S 32.06 S.upf
CELL_PARAMETERS angstrom
5.114 0.000 0.000
0.001 5.421 0.000
2.311 0.124 5.752
ATOMIC_POSITIONS angstrom
Cs 0.000 0.000 0.000
S 2.537 3.779 2.208
S 2.539 1.846 2.098
S 4.887 3.699 3.654
S 4.889 1.766 3.544
```

ΔE_f (raw) = -0.37 eV per atom
SG = P-1
N(E_F) = 1.491 states/eV per cell
size of the total moment = 0.00 μB per atom